# 1
# SrSnPt, single point on PBEsol structure, DFT meta-GGA SCAN
data_SrSnPt
_chemical_formula_sum 'Sr4 Sn4 Pt4'
_cell_length_a 7.596
_cell_length_b 4.697
_cell_length_c 7.957
_cell_angle_alpha 90.00
_cell_angle_beta 90.00
_cell_angle_gamma 90.00
_space_group_name_H-M_alt 'P n m a'
_space_group_IT_number 62
loop_
_space_group_symop_operation_xyz
'x,y,z'
'-x,-y,-z'
'-x+1/2,-y,z+1/2'
'x+1/2,y,-z+1/2'
'x+1/2,-y+1/2,-z+1/2'
'-x+1/2,y+1/2,z+1/2'
'-x,y+1/2,-z'
'x,-y+1/2,z'
loop_
_atom_site_label
_atom_site_type_symbol
_atom_site_fract_x
_atom_site_fract_y
_atom_site_fract_z
Sr1 Sr 0.020 0.250 0.182
Sn1 Sn 0.162 0.250 0.574
Pt1 Pt 0.202 0.750 0.393
# Magnetization = 0.0 μB/cell
# Density of states at the Fermi level = 4.387 states/eV per cell
# E = -525.7 eV/cell
# Energy of formation from the pure elements = -3.0 eV/f.u.
# Volume = 23.66 Å³ per atom

=====

# 2
# OsPb2Se, single point on PBEsol structure, DFT meta-GGA SCAN
data_OsPb2Se
_chemical_formula_sum 'Os1 Pb2 Se1'
_cell_length_a 3.126
_cell_length_b 3.126
_cell_length_c 9.170
_cell_angle_alpha 90.00
_cell_angle_beta 90.00
_cell_angle_gamma 90.00
_space_group_name_H-M_alt 'P 4 m m'
_space_group_IT_number 99
loop_
_space_group_symop_operation_xyz
'x,y,z'
'-y,x,z'
'-x,-y,z'
'y,-x,z'
'-x,y,z'
'y,x,z'
'x,-y,z'
'-y,-x,z'
loop_
_atom_site_label
_atom_site_type_symbol
_atom_site_fract_x
_atom_site_fract_y
_atom_site_fract_z
Os1 Os 0.000 0.000 0.000
Pb1 Pb 0.000 0.000 0.552
Pb2 Pb 0.500 0.500 0.244
Se1 Se 0.500 0.500 0.865
# Magnetization = 0.0 μB/cell
# Density of states at the Fermi level = 1.751 states/eV per cell
# E = -242.0 eV/cell
# Volume = 22.40 Å³ per atom

=====

# 3
# Li2MnRh, single point on PBEsol structure, DFT meta-GGA SCAN
data_Li2MnRh
_chemical_formula_sum 'Li2 Mn1 Rh1'
_cell_length_a 3.576
_cell_length_b 3.576
_cell_length_c 4.206
_cell_angle_alpha 90.00
_cell_angle_beta 90.00
_cell_angle_gamma 90.00
_space_group_name_H-M_alt 'P 4/m m m'
_space_group_IT_number 123
_space_group_name_Hall '-P 4 2'
loop_
_atom_site_label
_atom_site_type_symbol
_atom_site_fract_x
_atom_site_fract_y
_atom_site_fract_z
Li1 Li 0.000 0.500 0.000
Mn1 Mn 0.000 0.000 0.500
Rh1 Rh 0.500 0.500 0.500
# Magnetization = 4.3 μB/cell
# Offset from the most stable computed form = 14.9 kJ/mol of formula units
# Density of states at the Fermi level = 1.230 states/eV per cell
# E = -57.6 eV/cell
# Energy of formation from the pure elements = -0.8 eV/f.u.
# Volume = 13.45 Å³ per atom